[1]
Below is KTa3Nb at its PBEsol-relaxed geometry, with properties calculated at the SCAN level.

Properties
Theoretical density, g/cm3: 11.87
DOS(E_F), states/eV per cell: 4.2
DFT formation energy, meV per atom: 2916

a b c (Å): 4.554 4.554 4.554
angles (deg): 90.00 90.00 90.00
Element x y z (fractional)
1 Ta 0.000 0.000 0.500
2 Ta 0.000 0.500 0.000
3 Ta 0.500 0.000 0.000
4 Nb 0.500 0.500 0.500
5 K 0.000 0.000 0.000

[2]
Below is MgCuAu2 at its PBEsol-relaxed geometry, with properties calculated at the SCAN level.

Properties
Theoretical density, g/cm3: 12.90
DOS(E_F), states/eV per cell: 1.2
DFT formation energy, meV per atom: -414

a b c (Å): 3.904 3.904 4.919
angles (deg): 113.38 113.38 90.00
Element x y z (fractional)
1 Au 0.500 0.500 0.000
2 Au 0.750 0.250 0.500
3 Cu 0.000 0.000 0.000
4 Mg 0.250 0.750 0.500

[3]
Below is FeRuBr2 at its PBEsol-relaxed geometry, with properties calculated at the SCAN level.

Properties
ΔE_f (raw), eV per atom: 1.076
Theoretical density, g/cm3: 7.43
DOS(E_F), states/eV per cell: 2.2

a b c (Å): 4.644 4.644 4.644
angles (deg): 60.00 60.00 60.00
Each line ends with the local moment (μB).
Element x y z (fractional)
1 Br 0.000 0.000 0.000  0.17
2 Br 0.750 0.750 0.750  0.25
3 Fe 0.500 0.500 0.500  3.37
4 Ru 0.250 0.250 0.250  2.25

[4]
Below is K2LiPb at its PBEsol-relaxed geometry, with properties calculated at the SCAN level.

Properties
Theoretical density, g/cm3: 3.48
DOS(E_F), states/eV per cell: 2.1
DFT formation energy, meV per atom: -50

a b c (Å): 4.889 4.889 5.842
angles (deg): 90.00 90.00 90.00
Element x y z (fractional)
1 Pb 0.000 0.000 0.500
2 Li 0.500 0.500 0.500
3 K 0.500 0.000 0.000
4 K 0.000 0.500 0.000

[5]
Below is KSr3I at its PBEsol-relaxed geometry, with properties calculated at the SCAN level.

Properties
ΔE_f (raw), eV per atom: -0.223
Theoretical density, g/cm3: 2.58
DOS(E_F), states/eV per cell: 8.3

a b c (Å): 6.512 6.512 6.512
angles (deg): 90.00 90.00 90.00
Each line ends with the local moment (μB).
Element x y z (fractional)
1 Sr 0.500 0.000 0.000  0.06
2 Sr 0.000 0.500 0.000  0.06
3 Sr 0.000 0.000 0.500  0.06
4 I 0.000 0.000 0.000  0.00
5 K 0.500 0.500 0.500  0.01

[6]
Below is MgIn3 at its PBEsol-relaxed geometry, with properties calculated at the SCAN level.

Properties
Theoretical density, g/cm3: 6.10
DOS(E_F), states/eV per cell: 10.7
DFT formation energy, meV per atom: 5

a b c (Å): 8.657 8.657 9.279
angles (deg): 90.00 90.00 120.00
Element x y z (fractional)
1 In 0.667 0.333 0.825
2 In 0.000 0.000 0.020
3 In 0.732 0.000 0.767
4 In 0.268 0.268 0.767
5 In 0.374 0.374 0.107
6 In 0.268 0.000 0.267
7 In 0.732 0.732 0.267
8 In 0.000 0.626 0.107
9 In 0.000 0.374 0.607
10 In 0.000 0.268 0.267
11 In 0.374 0.000 0.607
12 In 0.333 0.667 0.825
13 In 0.626 0.000 0.107
14 In 0.000 0.732 0.767
15 In 0.333 0.667 0.325
16 In 0.000 0.000 0.520
17 In 0.667 0.333 0.325
18 In 0.626 0.626 0.607
19 Mg 0.663 0.000 0.442
20 Mg 0.663 0.663 0.942
21 Mg 0.000 0.663 0.442
22 Mg 0.000 0.337 0.942
23 Mg 0.337 0.000 0.942
24 Mg 0.337 0.337 0.442

[7]
Below is BiOsSN2 at its PBEsol-relaxed geometry, with properties calculated at the SCAN level.

Properties
ΔE_f (raw), eV per atom: 2.621
Theoretical density, g/cm3: 8.47
DOS(E_F), states/eV per cell: 2.7

a b c (Å): 4.118 4.118 5.313
angles (deg): 90.00 90.00 90.00
Each line ends with the local moment (μB).
Element x y z (fractional)
1 S 0.000 0.000 0.500  0.01
2 Os 0.500 0.500 0.500  2.86
3 N 0.500 0.000 0.000  0.68
4 N 0.000 0.500 0.000  0.68
5 Bi 0.000 0.000 0.000  -0.05

[8]
Below is CaMg3 at its PBEsol-relaxed geometry, with properties calculated at the SCAN level.

Properties
Theoretical density, g/cm3: 1.79
DOS(E_F), states/eV per cell: 4.3
DFT formation energy, meV per atom: -37

a b c (Å): 5.279 6.780 6.780
angles (deg): 120.00 90.00 90.00
Element x y z (fractional)
1 Ca 0.750 0.667 0.333
2 Ca 0.250 0.333 0.667
3 Mg 0.250 0.841 0.681
4 Mg 0.750 0.159 0.319
5 Mg 0.250 0.319 0.159
6 Mg 0.750 0.681 0.841
7 Mg 0.750 0.159 0.841
8 Mg 0.250 0.841 0.159

[9]
Below is ReAsRh at its PBEsol-relaxed geometry, with properties calculated at the SCAN level.

Properties
Theoretical density, g/cm3: 12.03
DOS(E_F), states/eV per cell: 2.7
DFT formation energy, meV per atom: 176

a b c (Å): 4.143 4.143 4.143
angles (deg): 60.00 60.00 60.00
Element x y z (fractional)
1 Re 0.250 0.250 0.250
2 As 0.500 0.500 0.500
3 Rh 0.000 0.000 0.000

[10]
Below is RbCuPdSe5 at its PBEsol-relaxed geometry, with properties calculated at the SCAN level.

Properties
ΔE_f (raw), eV per atom: -0.500
Theoretical density, g/cm3: 5.47

a b c (Å): 6.213 7.261 8.977
angles (deg): 90.00 102.94 90.00
Element x y z (fractional)
1 Se 0.038 0.250 0.655
2 Se 0.681 0.509 0.283
3 Se 0.319 0.491 0.717
4 Se 0.304 0.250 0.109
5 Se 0.681 0.991 0.283
6 Se 0.268 0.250 0.367
7 Se 0.319 0.009 0.717
8 Se 0.696 0.750 0.891
9 Se 0.732 0.750 0.633
10 Se 0.962 0.750 0.345
11 Rb 0.248 0.750 0.049
12 Rb 0.752 0.250 0.951
13 Pd 0.500 0.500 0.500
14 Pd 0.500 0.000 0.500
15 Cu 0.881 0.250 0.391
16 Cu 0.119 0.750 0.609

[11]
Below is GaPdSe2N at its PBEsol-relaxed geometry, with properties calculated at the SCAN level.

Properties
ΔE_f (raw), eV per atom: 0.753
Theoretical density, g/cm3: 6.44
DOS(E_F), states/eV per cell: 2.2

a b c (Å): 3.513 5.055 5.055
angles (deg): 90.00 90.00 90.00
Each line ends with the local moment (μB).
Element x y z (fractional)
1 N 0.500 0.000 0.000  0.92
2 Se 0.000 0.500 0.000  0.24
3 Se 0.000 0.000 0.500  0.24
4 Ga 0.000 0.000 0.000  -0.02
5 Pd 0.500 0.500 0.500  0.10

[12]
Below is La6MnSb15 at its PBEsol-relaxed geometry, with properties calculated at the SCAN level.

Properties
ΔE_f (raw), eV per atom: -0.839
Theoretical density, g/cm3: 7.05
DOS(E_F), states/eV per cell: 6.2

a b c (Å): 4.259 12.623 12.623
angles (deg): 102.18 99.72 99.72
Each line ends with the local moment (μB).
Element x y z (fractional)
1 Sb 0.192 0.607 0.607  -0.04
2 Sb 0.416 0.831 0.831  -0.04
3 Sb 0.585 0.800 0.200  0.00
4 Sb 0.091 0.005 0.005  0.00
5 Sb 0.585 0.200 0.800  0.00
6 Sb 0.439 0.252 0.456  -0.01
7 Sb 0.728 0.761 0.525  -0.04
8 Sb 0.304 0.924 0.512  -0.01
9 Sb 0.304 0.512 0.924  -0.01
10 Sb 0.873 0.486 0.089  0.00
11 Sb 0.999 0.413 0.413  0.02
12 Sb 0.728 0.525 0.761  -0.04
13 Sb 0.728 0.143 0.143  -0.01
14 Sb 0.873 0.089 0.486  0.00
15 Sb 0.439 0.456 0.252  -0.01
16 La 0.084 0.322 0.675  0.01
17 La 0.224 0.004 0.273  0.00
18 La 0.084 0.675 0.322  0.01
19 La 0.948 0.728 0.997  0.03
20 La 0.948 0.997 0.728  0.03
21 La 0.224 0.273 0.004  0.00
22 Mn 0.804 0.719 0.719  3.61

no.,size of the total moment (μB/cell)
1,0.0
2,0.0
3,6.1
4,0.0
5,0.9
6,0.0
7,5.1
8,0.0
9,0.0
10,0.0
11,2.0
12,3.7